# 1
PBE CaOsW2, relaxed; polymorph energy (0 for the lowest one) = 141 meV/atom; ΔH_f (0 K) = 65.2 kJ/mol of atoms; size of the total moment = 0.000 μB per formula unit
1.0
4.5870 0.0000 0.0000
2.2935 3.9725 0.0000
2.2935 1.3242 3.7453
W Ca Os
2 1 1
direct
0.0000 0.0000 0.0000 W
0.2500 0.2500 0.2500 W
0.5000 0.5000 0.5000 Ca
0.7500 0.7500 0.7500 Os

# 2
PBE CaOsW2, relaxed; polymorph energy (0 for the lowest one) = 162 meV/atom; ΔH_f (0 K) = 67.1 kJ/mol of atoms; size of the total moment = 0.000 μB per formula unit
1.0
10.0903 0.0037 0.0022
9.6837 2.8355 0.0022
9.6837 1.3904 2.4712
W Os Ca
2 1 1
direct
0.0091 0.0091 0.0091 W
0.4909 0.4909 0.4909 W
0.7500 0.7500 0.7500 Os
0.2500 0.2500 0.2500 Ca

# 3
PBE CaOsW2, relaxed; polymorph energy (0 for the lowest one) = 153 meV/atom; ΔH_f (0 K) = 66.3 kJ/mol of atoms; size of the total moment = 0.000 μB per formula unit
1.0
5.4857 -0.0054 -0.0065
-2.6944 4.7784 -0.0065
0.4153 0.7101 2.6031
Ca W Os
1 2 1
direct
0.5000 0.0000 0.5000 Ca
0.0000 0.0000 0.0000 W
0.5000 0.5000 0.0000 W
0.0000 0.5000 0.5000 Os

# 4
PBE CaOsW2, relaxed; polymorph energy (0 for the lowest one) = 69 meV/atom; ΔH_f (0 K) = 58.2 kJ/mol of atoms; size of the total moment = 0.000 μB per formula unit
1.0
-1.3993 1.0542 -2.2671
-2.4450 -0.0457 1.4929
1.6079 8.3468 2.8890
W Ca Os
2 1 1
direct
0.0000 0.0000 0.9534 W
0.0000 0.0000 0.5466 W
0.5000 0.5000 0.2500 Ca
0.5000 0.5000 0.7500 Os

# 5
PBE CaOsW2, relaxed; polymorph energy (0 for the lowest one) = 461 meV/atom; ΔH_f (0 K) = 96.0 kJ/mol of atoms; size of the total moment = 0.000 μB per formula unit
1.0
-1.8370 -5.6054 -4.9769
3.5133 -5.1703 4.5265
-1.5402 -5.8146 1.1333
W Ca Os
4 2 2
direct
0.3750 0.3102 0.7500 W
0.6898 0.1250 0.2500 W
0.0602 0.6250 0.2500 W
0.8750 0.9398 0.7500 W
0.5000 0.5000 0.0000 Ca
0.2500 0.7500 0.5000 Ca
0.0000 0.0000 0.0000 Os
0.7500 0.2500 0.5000 Os

# 6
PBE CaOsW2, relaxed; polymorph energy (0 for the lowest one) = 138 meV/atom; ΔH_f (0 K) = 64.8 kJ/mol of atoms; size of the total moment = 0.000 μB per formula unit
1.0
4.6622 0.0000 0.0000
0.0000 2.7787 -0.0035
0.0000 0.9939 5.2996
W Ca Os
2 1 1
direct
0.0000 0.5175 0.5102 W
0.0000 0.9825 0.9898 W
0.5000 0.2500 0.2500 Ca
0.5000 0.7500 0.7500 Os

# 7
PBE CaOsW2, relaxed; polymorph energy (0 for the lowest one) = 413 meV/atom; ΔH_f (0 K) = 91.3 kJ/mol of atoms; size of the total moment = 0.000 μB per formula unit
1.0
4.6357 0.0000 0.0000
0.0000 3.8937 0.0000
0.0000 0.0000 3.8937
W Os Ca
2 1 1
direct
0.0000 0.5000 0.5000 W
0.0000 0.0000 0.0000 W
0.5000 0.0000 0.5000 Os
0.5000 0.5000 0.0000 Ca

# 8
PBE CaY3Os, relaxed; polymorph energy (0 for the lowest one) = 0 meV/atom; ΔH_f (0 K) = -7.6 kJ/mol of atoms; size of the total moment = 0.000 μB per formula unit
1.0
5.4795 0.0000 0.0000
0.0000 5.4795 0.0000
0.0000 0.0000 5.4795
Ca Y Os
1 3 1
direct
0.5000 0.5000 0.5000 Ca
0.5000 0.0000 0.0000 Y
0.0000 0.5000 0.0000 Y
0.0000 0.0000 0.5000 Y
0.0000 0.0000 0.0000 Os

# 9
PBE CaY2Os, relaxed; polymorph energy (0 for the lowest one) = 198 meV/atom; ΔH_f (0 K) = 7.2 kJ/mol of atoms; size of the total moment = 0.000 μB per formula unit
1.0
3.6012 0.0000 0.0000
0.0000 4.4083 -0.0005
0.0000 2.2060 7.7278
Y Ca Os
2 1 1
direct
0.5000 0.3389 0.1967 Y
0.0000 0.9840 0.9073 Y
0.0000 0.6675 0.5399 Ca
0.5000 0.5096 0.8561 Os

# 10
PBE CaY2Os, relaxed; polymorph energy (0 for the lowest one) = 263 meV/atom; ΔH_f (0 K) = 13.5 kJ/mol of atoms; size of the total moment = 0.003 μB per formula unit
1.0
-2.9952 -1.6738 0.3026
0.4792 -0.2424 3.4024
-4.3852 8.0626 1.1920
Y Os Ca
2 1 1
direct
0.5000 0.5000 0.2364 Y
0.0000 0.0000 0.9290 Y
0.5000 0.5000 0.7660 Os
0.0000 0.0000 0.5686 Ca

# 11
PBE CaY2Os, relaxed; polymorph energy (0 for the lowest one) = 232 meV/atom; ΔH_f (0 K) = 10.5 kJ/mol of atoms; size of the total moment = 0.000 μB per formula unit
1.0
4.0815 1.2112 2.8725
-0.1697 -0.6230 5.0951
2.7653 -3.7109 2.2268
Ca Y Os
1 2 1
direct
0.0000 0.0000 0.0000 Ca
0.7500 0.7500 0.7500 Y
0.2500 0.2500 0.2500 Y
0.5000 0.5000 0.5000 Os

# 12
PBE CaY3Os, relaxed; polymorph energy (0 for the lowest one) = 1895 meV/atom; ΔH_f (0 K) = 175.2 kJ/mol of atoms; size of the total moment = 0.000 μB per formula unit
1.0
5.1621 0.0000 0.0000
0.0000 5.1621 0.0000
0.0000 0.0000 5.1621
Y Ca Os
3 1 1
direct
0.0000 0.5000 0.0000 Y
0.0000 0.0000 0.5000 Y
0.5000 0.0000 0.0000 Y
0.0000 0.0000 0.0000 Ca
0.5000 0.5000 0.5000 Os

# 13
PBE CaY2Os, relaxed; polymorph energy (0 for the lowest one) = 201 meV/atom; ΔH_f (0 K) = 7.5 kJ/mol of atoms; size of the total moment = 0.000 μB per formula unit
1.0
4.8399 -0.2280 0.0995
2.6808 4.0361 0.0995
2.3598 1.1948 5.1702
Y Os Ca
2 1 1
direct
0.0234 0.0234 0.9348 Y
0.4766 0.4766 0.5652 Y
0.7500 0.7500 0.7500 Os
0.2500 0.2500 0.2500 Ca

# 14
PBE CaY2Os2, relaxed; ΔH_f (0 K) = 8.6 kJ/mol of atoms; size of the total moment = 0.000 μB per formula unit
1.0
-3.1281 1.4051 7.3236
-4.4504 -6.7242 -0.6107
2.5738 -1.8353 1.4515
Os Y Ca
4 4 2
direct
0.3530 0.8530 0.0000 Os
0.6470 0.1470 0.0000 Os
0.8530 0.6470 0.0000 Os
0.1470 0.3530 0.0000 Os
0.3531 0.1469 0.5000 Y
0.1469 0.6469 0.5000 Y
0.8531 0.3531 0.5000 Y
0.6469 0.8531 0.5000 Y
0.0000 0.0000 0.0000 Ca
0.5000 0.5000 0.0000 Ca

# 15
PBE CaY2Os, relaxed; polymorph energy (0 for the lowest one) = 172 meV/atom; ΔH_f (0 K) = 4.8 kJ/mol of atoms; size of the total moment = 0.000 μB per formula unit
1.0
6.8310 0.0222 -0.0005
4.0061 5.5330 0.0005
-4.9240 -3.7423 2.9004
Y Ca Os
2 1 1
direct
0.7514 0.2514 0.5000 Y
0.0681 0.0681 0.0000 Y
0.4383 0.4383 0.0000 Ca
0.2421 0.7421 0.5000 Os

# 16
PBE CaY2Os, relaxed; polymorph energy (0 for the lowest one) = 160 meV/atom; ΔH_f (0 K) = 3.7 kJ/mol of atoms; size of the total moment = 0.000 μB per formula unit
1.0
-0.6554 -6.0269 0.9939
1.7116 -1.6589 5.6622
-3.9161 3.4929 -3.1946
Y Ca Os
2 1 1
direct
0.0568 0.0568 0.0000 Y
0.4432 0.4432 0.0000 Y
0.7500 0.2500 0.5000 Ca
0.2500 0.7500 0.5000 Os

# 17
PBE CaY2Os, relaxed; polymorph energy (0 for the lowest one) = 440 meV/atom; ΔH_f (0 K) = 30.6 kJ/mol of atoms; size of the total moment = 0.000 μB per formula unit
1.0
-1.9719 -1.4480 4.5274
-1.7349 -4.8034 0.6328
2.5807 -3.2942 2.9951
Os Y Ca
1 2 1
direct
0.7500 0.7500 0.7500 Os
0.2500 0.2500 0.2500 Y
0.0000 0.0000 0.0000 Y
0.5000 0.5000 0.5000 Ca

# 18
PBE CaY2Os, relaxed; polymorph energy (0 for the lowest one) = 0 meV/atom; ΔH_f (0 K) = -11.8 kJ/mol of atoms; size of the total moment = 0.000 μB per formula unit
1.0
3.4454 0.0000 0.0000
0.0000 3.4470 0.0092
0.0000 3.4091 9.6658
Os Y Ca
1 2 1
direct
0.5000 0.7500 0.7500 Os
0.0000 0.4197 0.5793 Y
0.0000 0.0803 0.9207 Y
0.5000 0.2500 0.2500 Ca

# 19
PBE CaY2Os, relaxed; polymorph energy (0 for the lowest one) = 196 meV/atom; ΔH_f (0 K) = 7.1 kJ/mol of atoms; size of the total moment = 0.000 μB per formula unit
1.0
9.3805 -0.0498 -0.0297
8.5095 3.9477 -0.0297
8.5095 1.8541 3.4854
Ca Y Os
1 2 1
direct
0.2500 0.2500 0.2500 Ca
0.0311 0.0311 0.0311 Y
0.4689 0.4689 0.4689 Y
0.7500 0.7500 0.7500 Os

# 20
PBE CaY2Os, relaxed; polymorph energy (0 for the lowest one) = 357 meV/atom; ΔH_f (0 K) = 22.6 kJ/mol of atoms; size of the total moment = 0.000 μB per formula unit
1.0
-1.1454 5.3576 6.9735
-7.5820 -4.1642 1.9539
-2.7929 -1.4166 6.2684
Y Os Ca
4 2 2
direct
0.7227 0.1250 0.2500 Y
0.3750 0.2773 0.7500 Y
0.8750 0.9727 0.7500 Y
0.0273 0.6250 0.2500 Y
0.0000 0.0000 0.0000 Os
0.7500 0.2500 0.5000 Os
0.2500 0.7500 0.5000 Ca
0.5000 0.5000 0.0000 Ca

# 21
PBE CaY2Os, relaxed; polymorph energy (0 for the lowest one) = 442 meV/atom; ΔH_f (0 K) = 30.8 kJ/mol of atoms; size of the total moment = 0.000 μB per formula unit
1.0
-0.7918 -0.7274 5.8467
1.7961 -5.1626 2.3369
2.3090 4.1640 -3.5594
Y Ca Os
2 1 1
direct
0.2500 0.7500 0.5000 Y
0.0000 0.0000 0.0000 Y
0.5000 0.5000 0.0000 Ca
0.7500 0.2500 0.5000 Os

# 22
PBE CaY2Os, relaxed; polymorph energy (0 for the lowest one) = 380 meV/atom; ΔH_f (0 K) = 24.9 kJ/mol of atoms; size of the total moment = 0.000 μB per formula unit
1.0
-1.0708 -1.6822 4.4687
4.6872 0.5455 1.3286
-0.7945 3.8033 1.2413
Os Ca Y
1 1 2
direct
0.0000 0.5000 0.5000 Os
0.5000 0.0000 0.5000 Ca
0.5000 0.5000 0.0000 Y
0.0000 0.0000 0.0000 Y

# 23
PBE CaZn3Os, relaxed; polymorph energy (0 for the lowest one) = 0 meV/atom; ΔH_f (0 K) = 8.8 kJ/mol of atoms; size of the total moment = 0.000 μB per formula unit
1.0
-1.8439 4.2079 -1.4457
-4.2940 -1.2730 1.7714
1.1655 1.9671 4.2390
Ca Zn Os
1 3 1
direct
0.5000 0.5000 0.5000 Ca
0.0000 0.5000 0.0000 Zn
0.5000 0.0000 0.0000 Zn
0.0000 0.0000 0.5000 Zn
0.0000 0.0000 0.0000 Os

# 24
PBE CaZnOs2, relaxed; ΔH_f (0 K) = 49.5 kJ/mol of atoms; size of the total moment = 0.017 μB per formula unit
1.0
-0.1572 -0.0230 -2.9407
0.0928 -4.7334 0.0321
-4.6920 -0.0903 0.2515
Zn Ca Os
1 1 2
direct
0.5000 0.0000 0.5000 Zn
0.0000 0.5000 0.5000 Ca
0.5000 0.5000 0.0000 Os
0.0000 0.0000 0.0000 Os

# 25
PBE CaZnOs2, relaxed; ΔH_f (0 K) = 45.8 kJ/mol of atoms; size of the total moment = 0.000 μB per formula unit
1.0
4.5280 -0.0204 0.0012
0.0154 4.5281 0.0012
-2.2708 -2.2531 3.1989
Zn Ca Os
1 1 2
direct
0.5001 0.4999 0.0000 Zn
0.7500 0.2500 0.5000 Ca
0.2500 0.7500 0.5000 Os
0.9999 0.0001 0.0000 Os

# 26
PBE CaZnOs2, relaxed; ΔH_f (0 K) = 54.3 kJ/mol of atoms; size of the total moment = 0.000 μB per formula unit
1.0
-4.1649 -0.3354 -0.6598
0.7388 -1.6600 -3.8200
-1.6161 -9.5521 1.4962
Zn Os Ca
2 4 2
direct
0.7500 0.2500 0.5000 Zn
0.0000 0.0000 0.0000 Zn
0.7459 0.1250 0.2500 Os
0.0041 0.6250 0.2500 Os
0.8750 0.9959 0.7500 Os
0.3750 0.2541 0.7500 Os
0.5000 0.5000 0.0000 Ca
0.2500 0.7500 0.5000 Ca

# 27
PBE CaZnOs2, relaxed; ΔH_f (0 K) = 21.2 kJ/mol of atoms; size of the total moment = 0.265 μB per formula unit
1.0
2.9097 0.0000 0.0000
0.0000 2.9097 0.0000
0.0000 0.0000 8.1611
Os Zn Ca
2 1 1
direct
0.5000 0.5000 0.2389 Os
0.0000 0.0000 0.0419 Os
0.0000 0.0000 0.4585 Zn
0.5000 0.5000 0.7607 Ca

# 28
PBE CaZnOs2, relaxed; ΔH_f (0 K) = 61.4 kJ/mol of atoms; size of the total moment = 0.005 μB per formula unit
1.0
-0.9706 4.4758 -2.6120
1.1941 0.1237 -5.1338
-2.6258 -3.1989 3.2665
Os Ca Zn
2 1 1
direct
0.5000 0.5000 0.0000 Os
0.0000 0.0000 0.0000 Os
0.7500 0.2500 0.5000 Ca
0.2500 0.7500 0.5000 Zn

# 29
PBE CaZnOs2, relaxed; ΔH_f (0 K) = 54.8 kJ/mol of atoms; size of the total moment = 0.000 μB per formula unit
1.0
9.3545 0.0116 0.0068
8.9166 2.8288 0.0068
8.9166 1.3862 2.4659
Os Zn Ca
2 1 1
direct
0.9926 0.9926 0.9926 Os
0.5074 0.5074 0.5074 Os
0.2500 0.2500 0.2500 Zn
0.7500 0.7500 0.7500 Ca